## AlTlRuO6 (PBE)

Data for AlTlRuO6 after structural relaxation.

Results
SG	P-31c, No. 163

Cell: 5.0893 5.0893 9.5440 Å, 90.00 90.00 120.00°
Last column: nearest neighbours and their distance in Å.
Positions (direct):
Al (0.3333, 0.6667, 0.2500)  6 O 1.90
Al (0.6667, 0.3333, 0.7500)  6 O 1.90
Tl (0.0000, 0.0000, 0.0000)  6 O 2.32
Tl (0.0000, 0.0000, 0.5000)  6 O 2.32
Ru (0.3333, 0.6667, 0.7500)  6 O 1.93
Ru (0.6667, 0.3333, 0.2500)  6 O 1.93
O (0.0039, 0.3732, 0.1406)  1 Al 1.90, 1 Ru 1.93
O (0.0039, 0.6306, 0.3594)  1 Al 1.90, 1 Ru 1.93
O (0.3694, 0.3732, 0.3594)  1 Al 1.90, 1 Ru 1.93
O (0.3694, 0.9961, 0.1406)  1 Al 1.90, 1 Ru 1.93
O (0.3732, 0.0039, 0.6406)  1 Al 1.90, 1 Ru 1.93
O (0.3732, 0.3694, 0.8594)  1 Al 1.90, 1 Ru 1.93
O (0.6268, 0.6306, 0.1406)  1 Al 1.90, 1 Ru 1.93
O (0.6268, 0.9961, 0.3594)  1 Al 1.90, 1 Ru 1.93
O (0.6306, 0.0039, 0.8594)  1 Al 1.90, 1 Ru 1.93
O (0.6306, 0.6268, 0.6406)  1 Al 1.90, 1 Ru 1.93
O (0.9961, 0.3694, 0.6406)  1 Al 1.90, 1 Ru 1.93
O (0.9961, 0.6268, 0.8594)  1 Al 1.90, 1 Ru 1.93

***

## AlZnRuO2 (PBE)

Data for AlZnRuO2 after structural relaxation.

Results
SG	P4/mmm, No. 123

Cell: 3.6884 3.6884 5.6321 Å, 90.00 90.00 90.00°
Last column: nearest neighbours and their distance in Å.
Positions (direct):
Al (0.0000, 0.0000, 0.0000)  4 Ru 2.61, 2 Zn 2.82
Zn (0.0000, 0.0000, 0.5000)  4 O 1.84
Ru (0.5000, 0.5000, 0.0000)  4 Al 2.61
O (0.0000, 0.5000, 0.5000)  2 Zn 1.84
O (0.5000, 0.0000, 0.5000)  2 Zn 1.84

***

## Zr2AlRuO (PBE)

Data for Zr2AlRuO after structural relaxation.

Results
SG	P4/mmm, No. 123

Cell: 5.0517 5.0517 4.2405 Å, 90.00 90.00 90.00°
Last column: nearest neighbours and their distance in Å.
Positions (direct):
Zr (0.0000, 0.5000, 0.0000)  2 Al 2.53
Zr (0.5000, 0.0000, 0.0000)  2 Al 2.53
Al (0.0000, 0.0000, 0.0000)  2 Ru 2.12
Ru (0.0000, 0.0000, 0.5000)  2 Al 2.12
O (0.5000, 0.5000, 0.5000)  8 Zr 3.30, 4 Ru 3.57

***

## AlS2O6 (PBE)

Data for AlS2O6 after structural relaxation.

Results
SG	R3, No. 146

Cell: 6.9592 6.9592 6.9592 Å, 39.59 39.59 39.59°
Last column: nearest neighbours and their distance in Å.
Positions (direct):
Al (0.0000, 0.0000, 0.0000)  6 O 1.92-1.93
S (0.2447, 0.2447, 0.2447)  3 O 1.52
S (0.4219, 0.4219, 0.4219)  3 O 1.52
O (0.1117, 0.3574, 0.7124)  1 S 1.52
O (0.2360, 0.9905, 0.5913)  1 S 1.52
O (0.3574, 0.7124, 0.1117)  1 S 1.52
O (0.5913, 0.2360, 0.9905)  1 S 1.52
O (0.7124, 0.1117, 0.3574)  1 S 1.52
O (0.9905, 0.5913, 0.2360)  1 S 1.52

***

## AlS2O (PBE)

Data for AlS2O after structural relaxation.

Results
SG	R-3m, No. 166
polymorph energy (0 for the lowest one)	4.208	eV per formula unit

Cell: 8.3185 8.3185 8.3185 Å, 19.63 19.63 19.63°
Last column: nearest neighbours and their distance in Å.
Positions (direct):
Al (0.0000, 0.0000, 0.0000)  2 S 2.45
S (0.1003, 0.1003, 0.1003)  3 O 2.31, 1 Al 2.45
S (0.8997, 0.8997, 0.8997)  3 O 2.31, 1 Al 2.45
O (0.5000, 0.5000, 0.5000)  6 S 2.31

***

## AlSO3 (PBE)

Data for AlSO3 after structural relaxation.

Results
SG	Pm-3m, No. 221

Cell: 3.6459 3.6459 3.6459 Å, 90.00 90.00 90.00°
Last column: nearest neighbours and their distance in Å.
Positions (direct):
Al (0.0000, 0.0000, 0.0000)  6 O 1.82
S (0.5000, 0.5000, 0.5000)  12 O 2.58
O (0.0000, 0.0000, 0.5000)  2 Al 1.82
O (0.0000, 0.5000, 0.0000)  2 Al 1.82
O (0.5000, 0.0000, 0.0000)  2 Al 1.82

***

## Al2SO (PBE)

Data for Al2SO after structural relaxation.

Results
SG	I-42d, No. 122
polymorph energy (0 for the lowest one)	0.000	eV per formula unit

Cell: 6.4409 6.4409 6.4409 Å, 136.21 136.21 63.65°
Last column: nearest neighbours and their distance in Å.
Positions (direct):
Al (0.0349, 0.6250, 0.9099)  2 O 1.98
Al (0.3750, 0.2849, 0.4099)  2 O 1.98
Al (0.7151, 0.1250, 0.0901)  2 O 1.98
Al (0.8750, 0.9651, 0.5901)  2 O 1.98
S (0.2500, 0.7500, 0.5000)  4 Al 2.45
S (0.5000, 0.5000, 0.0000)  4 Al 2.45
O (0.0000, 0.0000, 0.0000)  4 Al 1.98
O (0.7500, 0.2500, 0.5000)  4 Al 1.98

***

## Al2SO2 (PBE)

Data for Al2SO2 after structural relaxation.

Results
SG	Pnma, No. 62

Cell: 6.2401 3.1403 13.3165 Å, 90.00 90.00 90.00°
Last column: nearest neighbours and their distance in Å.
Positions (direct):
Al (0.0578, 0.2500, 0.1813)  3 O 1.78-1.80
Al (0.1277, 0.7500, 0.3868)  3 O 1.89-1.91
Al (0.3723, 0.2500, 0.8868)  3 O 1.89-1.91
Al (0.4422, 0.7500, 0.6813)  3 O 1.78-1.80
Al (0.5578, 0.2500, 0.3187)  3 O 1.78-1.80
Al (0.6277, 0.7500, 0.1132)  3 O 1.89-1.91
Al (0.8723, 0.2500, 0.6132)  3 O 1.89-1.91
Al (0.9422, 0.7500, 0.8187)  3 O 1.78-1.80
S (0.1579, 0.7500, 0.5746)  4 Al 2.27-2.51
S (0.3421, 0.2500, 0.0746)  4 Al 2.27-2.51
S (0.6579, 0.7500, 0.9254)  4 Al 2.27-2.51
S (0.8421, 0.2500, 0.4254)  4 Al 2.27-2.51
O (0.0724, 0.7500, 0.2470)  3 Al 1.80-1.89
O (0.1994, 0.7500, 0.8762)  3 Al 1.78-1.91
O (0.3006, 0.2500, 0.3762)  3 Al 1.78-1.91
O (0.4276, 0.2500, 0.7470)  3 Al 1.80-1.89
O (0.5724, 0.7500, 0.2530)  3 Al 1.80-1.89
O (0.6994, 0.7500, 0.6238)  3 Al 1.78-1.91
O (0.8006, 0.2500, 0.1238)  3 Al 1.78-1.91
O (0.9276, 0.2500, 0.7530)  3 Al 1.80-1.89

***

## AlS2O2 (PBE)

Data for AlS2O2 after structural relaxation.

Results
SG	I4/mmm, No. 139
polymorph energy (0 for the lowest one)	3.433	eV per formula unit

Cell: 4.8659 4.8659 4.8659 Å, 127.97 127.97 76.68°
Last column: nearest neighbours and their distance in Å.
Positions (direct):
Al (0.0000, 0.0000, 0.0000)  8 O 2.86, 10 S 2.88-3.16
S (0.3776, 0.3776, 0.0000)  1 S 1.87
S (0.6224, 0.6224, 0.0000)  1 S 1.87
O (0.2500, 0.7500, 0.5000)  4 S 2.35
O (0.7500, 0.2500, 0.5000)  4 S 2.35

***

## Al3S2O2 (PBE)

Data for Al3S2O2 after structural relaxation.

Results
SG	C2/m, No. 12

Cell: 5.9363 5.9363 5.4037 Å, 111.64 111.64 32.47°
Last column: nearest neighbours and their distance in Å.
Positions (direct):
Al (0.0000, 0.0000, 0.0000)  2 O 2.10
Al (0.2439, 0.2439, 0.7134)  3 O 1.90-1.98
Al (0.7561, 0.7561, 0.2866)  3 O 1.90-1.98
S (0.3973, 0.3973, 0.1717)  5 Al 2.41-2.55
S (0.6027, 0.6027, 0.8283)  5 Al 2.41-2.55
O (0.1725, 0.1725, 0.3334)  4 Al 1.90-2.10
O (0.8275, 0.8275, 0.6666)  4 Al 1.90-2.10

***

## Al2SO (PBE)

Data for Al2SO after structural relaxation.

Results
SG	Fm-3m, No. 225
polymorph energy (0 for the lowest one)	2.757	eV per formula unit

Cell: 4.1755 4.1755 4.1755 Å, 60.00 60.00 60.00°
Last column: nearest neighbours and their distance in Å.
Positions (direct):
Al (0.2500, 0.2500, 0.2500)  4 S 2.56, 4 O 2.56
Al (0.7500, 0.7500, 0.7500)  4 O 2.56, 4 S 2.56
S (0.0000, 0.0000, 0.0000)  8 Al 2.56
O (0.5000, 0.5000, 0.5000)  8 Al 2.56

***

For reference, ρ by record: 6.65, 4.89, 5.01, 2.52, 3.13, 3.67, 2.68, 3.00, 2.94, 3.11, 3.29 g/cm3.
For reference, E_form (uncorrected) by record: -30.17, 9.18, 22.38, -34.41, 16.77, -17.18, -24.34, -52.67, 13.14, -38.50, -8.44 kcal/mol of atoms.